(1)
Compound: BaFe2P
Source: Alexandria
Functional: PBE
Structure: relaxed

a b c (Å): 3.944 4.421 4.421
angles (deg): 90.00 90.00 90.00
Fractional positions:
Fe1 0.000 0.000 0.000
Fe2 0.000 0.500 0.500
P1 0.500 0.500 0.000
Ba1 0.500 0.000 0.500

Energy relative to the elements ... 0.78 eV/atom



(2)
Compound: Ba2FeP
Source: Alexandria
Functional: PBE
Structure: relaxed

a b c (Å): 6.363 6.363 6.363
angles (deg): 137.03 137.03 62.39
Fractional positions:
Ba1 0.250 0.750 0.500
Ba2 0.000 0.000 0.000
Fe1 0.500 0.500 0.000
P1 0.750 0.250 0.500

Energy relative to the elements ... 0.20 eV/atom



(3)
Compound: BaFeP3
Source: Alexandria
Functional: PBE
Structure: relaxed

a b c (Å): 5.554 5.554 5.554
angles (deg): 90.00 90.00 90.00
Fractional positions:
P1 0.000 0.500 0.000
P2 0.500 0.000 0.000
P3 0.000 0.000 0.500
Fe1 0.500 0.500 0.500
Ba1 0.000 0.000 0.000

Energy relative to the elements ... 2.32 eV/atom



(4)
Compound: BaFePPb2
Source: Alexandria
Functional: PBE
Structure: relaxed

a b c (Å): 6.221 5.070 6.221
angles (deg): 90.00 90.00 90.00
Fractional positions:
Pb1 0.000 0.000 0.500
Pb2 0.500 0.000 0.000
P1 0.500 0.500 0.500
Ba1 0.000 0.000 0.000
Fe1 0.000 0.500 0.000

Energy relative to the elements ... 1.73 eV/atom



(5)
Compound: Ba2FePPt
Source: Alexandria
Functional: PBE
Structure: relaxed

a b c (Å): 6.119 4.225 6.119
angles (deg): 90.00 90.00 90.00
Fractional positions:
Ba1 0.000 0.000 0.500
Ba2 0.500 0.000 0.000
Pt1 0.500 0.500 0.500
P1 0.000 0.000 0.000
Fe1 0.000 0.500 0.000

Energy relative to the elements ... -0.19 eV/atom



(6)
Compound: BaFePPt
Source: Alexandria
Functional: PBE
Structure: relaxed

a b c (Å): 3.824 3.824 11.465
angles (deg): 90.00 90.00 90.00
Fractional positions:
Pt1 0.750 0.250 0.500
Pt2 0.250 0.750 0.500
Ba1 0.250 0.250 0.732
Ba2 0.750 0.750 0.268
P1 0.250 0.250 0.098
P2 0.750 0.750 0.902
Fe1 0.750 0.250 0.000
Fe2 0.250 0.750 0.000

Energy relative to the elements ... -0.68 eV/atom



(7)
Compound: BaPuFeP2
Source: Alexandria
Functional: PBE
Structure: relaxed

a b c (Å): 4.359 4.359 7.230
angles (deg): 107.54 107.54 90.00
Fractional positions:
Ba1 0.000 0.000 0.000
Fe1 0.250 0.750 0.500
Pu1 0.750 0.250 0.500
P1 0.638 0.638 0.276
P2 0.362 0.362 0.724

Energy relative to the elements ... -0.47 eV/atom



(8)
Compound: BaFeRe2P
Source: Alexandria
Functional: PBE
Structure: relaxed

a b c (Å): 5.085 4.609 5.085
angles (deg): 90.00 90.00 90.00
Fractional positions:
P1 0.500 0.500 0.500
Re1 0.000 0.000 0.500
Re2 0.500 0.000 0.000
Ba1 0.000 0.000 0.000
Fe1 0.000 0.500 0.000

Energy relative to the elements ... 3.75 eV/atom



(9)
Compound: BaFeP2Ru
Source: Alexandria
Functional: PBE
Structure: relaxed

a b c (Å): 3.949 3.949 6.772
angles (deg): 106.95 106.95 90.00
Fractional positions:
Fe1 0.250 0.750 0.500
Ba1 0.000 0.000 0.000
P1 0.658 0.658 0.316
P2 0.342 0.342 0.684
Ru1 0.750 0.250 0.500

Energy relative to the elements ... -0.85 eV/atom



(10)
Compound: BaFePS2
Source: Alexandria
Functional: PBE
Structure: relaxed

a b c (Å): 5.721 5.721 5.908
angles (deg): 90.00 90.00 90.00
Fractional positions:
Fe1 0.500 0.500 0.500
S1 0.000 0.500 0.000
S2 0.500 0.000 0.000
P1 0.000 0.000 0.500
Ba1 0.000 0.000 0.000

ΔE_f (raw) ... 1.3071 eV per atom



(11)
Compound: BaFeP2S
Source: Alexandria
Functional: PBE
Structure: relaxed

a b c (Å): 4.372 4.372 5.475
angles (deg): 90.00 90.00 90.00
Fractional positions:
Ba1 0.500 0.500 0.500
P1 0.000 0.500 0.000
P2 0.500 0.000 0.000
S1 0.000 0.000 0.500
Fe1 0.000 0.000 0.000

ΔE_f (raw) ... -0.4248 eV per atom



(12)
Compound: BaFeP2S
Source: Alexandria
Functional: PBE
Structure: relaxed

a b c (Å): 5.545 5.545 5.579
angles (deg): 90.00 90.00 90.00
Fractional positions:
Fe1 0.500 0.500 0.500
Ba1 0.000 0.000 0.000
P1 0.000 0.500 0.000
P2 0.500 0.000 0.000
S1 0.000 0.000 0.500

ΔE_f (raw) ... 1.6666 eV per atom



(13)
Compound: BaFePS2
Source: Alexandria
Functional: PBE
Structure: relaxed

a b c (Å): 4.959 4.959 4.303
angles (deg): 90.00 90.00 90.00
Fractional positions:
Ba1 0.500 0.500 0.500
Fe1 0.000 0.000 0.000
S1 0.500 0.000 0.000
S2 0.000 0.500 0.000
P1 0.000 0.000 0.500

ΔE_f (raw) ... -0.6211 eV per atom



(14)
Compound: BaFe2SiP6
Source: Alexandria
Functional: PBE
Structure: relaxed

a b c (Å): 6.198 6.198 7.159
angles (deg): 64.35 64.35 60.00
Fractional positions:
P1 0.891 0.450 0.209
P2 0.109 0.550 0.791
P3 0.450 0.891 0.209
P4 0.450 0.450 0.209
P5 0.550 0.550 0.791
P6 0.550 0.109 0.791
Fe1 0.316 0.316 0.053
Fe2 0.684 0.684 0.947
Ba1 0.000 0.000 0.000
Si1 0.500 0.500 0.500

ΔE_f (raw) ... -0.2223 eV per atom



(15)
Compound: BaSrFe2P
Source: Alexandria
Functional: PBE
Structure: relaxed

a b c (Å): 4.924 6.659 4.924
angles (deg): 90.00 90.00 90.00
Fractional positions:
Sr1 0.000 0.000 0.000
Fe1 0.000 0.000 0.500
Fe2 0.500 0.000 0.000
Ba1 0.000 0.500 0.000
P1 0.500 0.500 0.500

Energy relative to the elements ... 1.67 eV/atom



(16)
Compound: BaFeTcP2
Source: Alexandria
Functional: PBE
Structure: relaxed

a b c (Å): 3.956 3.956 6.858
angles (deg): 106.76 106.76 90.00
Fractional positions:
Ba1 0.000 0.000 0.000
P1 0.345 0.345 0.690
P2 0.655 0.655 0.310
Tc1 0.250 0.750 0.500
Fe1 0.750 0.250 0.500

Energy relative to the elements ... -0.76 eV/atom



(17)
Compound: Ba2FeTeP
Source: Alexandria
Functional: PBE
Structure: relaxed

a b c (Å): 6.077 6.077 4.243
angles (deg): 90.00 90.00 90.00
Fractional positions:
Ba1 0.500 0.000 0.000
Ba2 0.000 0.500 0.000
Te1 0.500 0.500 0.500
Fe1 0.000 0.000 0.000
P1 0.000 0.000 0.500

ΔE_f (raw) ... -0.7222 eV per atom



(18)
Compound: BaUFeP2
Source: Alexandria
Functional: PBE
Structure: relaxed

a b c (Å): 4.085 4.085 7.669
angles (deg): 105.45 105.45 90.00
Fractional positions:
Fe1 0.250 0.750 0.500
U1 0.750 0.250 0.500
P1 0.630 0.630 0.260
P2 0.370 0.370 0.740
Ba1 0.000 0.000 0.000

Energy relative to the elements ... -0.55 eV/atom



(19)
Compound: BaZnFeP
Source: Alexandria
Functional: PBE
Structure: relaxed

a b c (Å): 3.812 3.812 12.274
angles (deg): 90.00 90.00 90.00
Fractional positions:
Fe1 0.750 0.250 0.000
Fe2 0.250 0.750 0.000
Ba1 0.750 0.750 0.239
Ba2 0.250 0.250 0.761
P1 0.750 0.750 0.908
P2 0.250 0.250 0.092
Zn1 0.750 0.250 0.500
Zn2 0.250 0.750 0.500

Energy relative to the elements ... -0.54 eV/atom



(20)
Compound: BaPaFeS4
Source: Alexandria
Functional: PBE
Structure: relaxed

a b c (Å): 6.356 6.333 8.569
angles (deg): 90.00 108.21 90.00
Fractional positions:
Ba1 0.749 0.750 0.940
Ba2 0.251 0.250 0.060
Fe1 0.765 0.250 0.670
Fe2 0.235 0.750 0.330
S1 0.019 0.511 0.708
S2 0.981 0.489 0.292
S3 0.019 0.989 0.708
S4 0.556 0.250 0.408
S5 0.444 0.750 0.592
S6 0.423 0.750 0.148
S7 0.981 0.011 0.292
S8 0.577 0.250 0.852
Pa1 0.757 0.750 0.445
Pa2 0.243 0.250 0.555

ΔE_f (raw) ... -1.4091 eV per atom



The E_tot results, record by record, are as follows: -5.280, -4.229, -3.004, -2.912, -4.946, -6.135, -7.574, -4.388, -6.945, -3.503, -5.491, -3.400, -5.431, -5.895, -3.516, -7.078, -4.894, -7.045, -4.806, -6.608 eV per atom.